First-principles (PBE) data for a geometry-optimized Ti2Cr2Pb structure, as listed in Alexandria.

energy of formation from the pure elements	175	meV per atom
M_tot	0.00	μB per atom
VASP energy	-37.9	eV per formula unit

Cell: 7.1398 7.1398 3.2083 Å, 90.00 90.00 90.00°
Closest atoms and distances in Å follow each position.
Space group P4/mbm (No. 127)
Inequivalent atoms, fractional coordinates:
Ti (0.1898, 0.3103, 0.0000) x4  6 Cr 2.67-2.69
Cr (0.0988, 0.5988, 0.5000) x4  1 Cr 2.00
Pb (0.0000, 0.0000, 0.5000) x2  4 Cr 2.95, 8 Ti 3.05, 2 Pb 3.21